Record 1
Computed, not measured: crystalline Ho2LuRu at its relaxed geometry at the PBE level of DFT.

POSCAR file:
```
Ho2LuRu
1.0
3.415 0.000 0.000
0.000 3.415 0.000
0.000 0.000 8.727
Ho Lu Ru
2 1 1
direct
0.000 0.000 0.188
0.000 0.000 0.812
0.500 0.500 0.500
0.500 0.500 0.000
```

Calculated values
- formation enthalpy at 0 K (eV per atom) = -0.203
- density (kg/m3) = 9885
- VASP energy (eV per cell) = -23.76
- SG = P4/mmm (123)

***

Record 2
Computed, not measured: crystalline Pm2Sm4Dy3 at its relaxed geometry at the PBE level of DFT.

POSCAR file:
```
Pm2Sm4Dy3
1.0
3.623 0.000 0.000
-1.811 3.137 0.000
0.000 0.000 26.716
Pm Sm Dy
2 4 3
direct
0.000 0.000 0.000
0.000 0.000 0.216
0.000 0.000 0.348
0.000 0.000 0.562
0.333 0.667 0.673
0.333 0.667 0.889
0.000 0.000 0.781
0.333 0.667 0.110
0.333 0.667 0.453
```

Calculated values
- formation enthalpy at 0 K (eV per atom) = 0.053
- density (kg/m3) = 7542
- VASP energy (eV per cell) = -41.70
- SG = P3m1 (156)

***

Record 3
Computed, not measured: crystalline Ca2LaOs at its relaxed geometry at the PBE level of DFT.

POSCAR file:
```
Ca2LaOs
1.0
4.423 0.000 0.000
0.000 4.423 0.000
0.000 0.000 5.319
Ca La Os
2 1 1
direct
0.000 0.500 0.000
0.500 0.000 0.000
0.000 0.000 0.500
0.500 0.500 0.500
```

Calculated values
- formation enthalpy at 0 K (eV per atom) = 0.339
- density (kg/m3) = 6533
- VASP energy (eV per cell) = -18.80
- SG = P4/mmm (123)

***

Record 4
Computed, not measured: crystalline BeAg at its relaxed geometry at the PBE level of DFT.

POSCAR file:
```
BeAg
1.0
2.931 0.000 0.000
0.000 3.938 0.000
0.000 0.000 13.455
Be Ag
6 6
direct
0.000 0.000 0.000
0.000 0.500 0.371
0.000 0.500 0.629
0.500 0.000 0.129
0.500 0.000 0.871
0.500 0.500 0.500
0.000 0.000 0.500
0.000 0.500 0.187
0.000 0.500 0.813
0.500 0.000 0.313
0.500 0.000 0.687
0.500 0.500 0.000
```

Calculated values
- formation enthalpy at 0 K (eV per atom) = 0.199
- density (kg/m3) = 7498
- VASP energy (eV per cell) = -37.07
- SG = Immm (71)

***

Record 5
Computed, not measured: crystalline TlVCdFe2 at its relaxed geometry at the PBE level of DFT.

POSCAR file:
```
TlVCdFe2
1.0
4.406 0.000 0.000
0.000 4.406 0.000
0.000 0.000 5.329
Tl V Cd Fe
1 1 1 2
direct
0.000 0.000 0.000
0.500 0.500 0.500
0.500 0.500 0.000
0.000 0.500 0.500
0.500 0.000 0.500
```

Calculated values
- formation enthalpy at 0 K (eV per atom) = 1.032
- density (kg/m3) = 7696
- VASP energy (eV per cell) = -24.17
- SG = P4/mmm (123)

***

Record 6
Computed, not measured: crystalline Pr2SmIn3Te6 at its relaxed geometry at the PBE level of DFT.

POSCAR file:
```
Pr2SmIn3Te6
1.0
3.921 -6.792 0.000
3.921 6.792 0.000
-2.616 0.000 8.115
Pr Sm In Te
2 1 3 6
direct
0.166 0.834 0.000
0.834 0.166 0.000
0.500 0.500 0.000
0.000 0.000 0.500
0.332 0.668 0.500
0.668 0.332 0.500
0.096 0.425 0.773
0.247 0.247 0.228
0.425 0.096 0.773
0.575 0.904 0.227
0.753 0.753 0.772
0.904 0.575 0.227
```

Calculated values
- density (kg/m3) = 5924
- formation energy (no corrections) (meV/atom) = -992
- VASP energy (eV per cell) = -53.25
- SG = C2/m (12)